## Nb2VC2 (PBE-GGA)

Data for crystalline Nb2VC2 at its relaxed geometry. Values from VASP.

Computed properties:
Crystal system: monoclinic
Calculated formation energy in kcal/mol of atoms: -11.22
Density of states at the Fermi level in states/eV per cell: 5.10
Space-group type: C2/m

```
&SYSTEM
  ibrav = 0, nat = 10, ntyp = 3
/
ATOMIC_SPECIES
Nb 92.91 Nb.upf
V 50.94 V.upf
C 12.01 C.upf
ATOMIC_POSITIONS crystal
Nb 0.016 0.016 0.261
Nb 0.329 0.329 0.909
Nb 0.671 0.671 0.091
Nb 0.984 0.984 0.739
V 0.351 0.351 0.401
V 0.649 0.649 0.599
C 0.169 0.169 0.089
C 0.497 0.497 0.740
C 0.503 0.503 0.260
C 0.831 0.831 0.911
CELL_PARAMETERS angstrom
4.915 -2.263 0.000
4.915 2.263 0.000
-2.396 0.000 5.585
```

***

## CaAuI2 (PBE-GGA)

Data for crystalline CaAuI2 at its relaxed geometry. Values from VASP.

Computed properties:
Crystal system: cubic
ΔE_f (raw) in meV/atom: -592
Density of states at the Fermi level in states/eV per cell: 4.09
Space-group type: Fm-3m

```
&SYSTEM
  ibrav = 0, nat = 4, ntyp = 3
/
ATOMIC_SPECIES
Ca 40.08 Ca.upf
Au 196.97 Au.upf
I 126.90 I.upf
ATOMIC_POSITIONS crystal
Ca 0.000 0.000 0.000
Au 0.500 0.500 0.500
I 0.250 0.250 0.250
I 0.750 0.750 0.750
CELL_PARAMETERS angstrom
0.000 3.919 3.919
3.919 0.000 3.919
3.919 3.919 0.000
```

***

## MgSiSe (PBE-GGA)

Data for crystalline MgSiSe at its relaxed geometry. Values from VASP.

Computed properties:
Crystal system: monoclinic
ΔE_f (raw) in meV/atom: -501
Space-group type: Cc

```
&SYSTEM
  ibrav = 0, nat = 6, ntyp = 3
/
ATOMIC_SPECIES
Mg 24.30 Mg.upf
Si 28.09 Si.upf
Se 78.96 Se.upf
ATOMIC_POSITIONS crystal
Mg 0.162 0.838 0.500
Mg 0.838 0.162 0.000
Si 0.577 0.674 0.751
Si 0.674 0.577 0.251
Se 0.135 0.468 0.616
Se 0.468 0.135 0.116
CELL_PARAMETERS angstrom
2.963 -6.685 0.000
2.963 6.685 0.000
-1.027 0.000 3.797
```

***

## BaY3Cr (PBE-GGA)

Data for crystalline BaY3Cr at its relaxed geometry. Values from VASP.

Computed properties:
Crystal system: cubic
Calculated formation energy in kcal/mol of atoms: 32.70
Density of states at the Fermi level in states/eV per cell: 3.01
Space-group type: Pm-3m

```
&SYSTEM
  ibrav = 0, nat = 5, ntyp = 3
/
ATOMIC_SPECIES
Ba 137.33 Ba.upf
Y 88.91 Y.upf
Cr 52.00 Cr.upf
ATOMIC_POSITIONS crystal
Ba 0.000 0.000 0.000
Y 0.000 0.000 0.500
Y 0.000 0.500 0.000
Y 0.500 0.000 0.000
Cr 0.500 0.500 0.500
CELL_PARAMETERS angstrom
5.673 0.000 0.000
0.000 5.673 0.000
0.000 0.000 5.673
```

***

## Pm2Sn3Hg2 (PBE-GGA)

Data for crystalline Pm2Sn3Hg2 at its relaxed geometry. Values from VASP.

Computed properties:
Crystal system: monoclinic
Calculated formation energy in kcal/mol of atoms: -8.13
Density of states at the Fermi level in states/eV per cell: 4.40
Space-group type: P2/m

```
&SYSTEM
  ibrav = 0, nat = 7, ntyp = 3
/
ATOMIC_SPECIES
Pm 145.00 Pm.upf
Sn 118.71 Sn.upf
Hg 200.59 Hg.upf
ATOMIC_POSITIONS crystal
Pm 0.079 0.000 0.158
Pm 0.921 0.000 0.842
Sn 0.209 0.500 0.417
Sn 0.500 0.500 0.000
Sn 0.791 0.500 0.583
Hg 0.364 0.500 0.729
Hg 0.636 0.500 0.271
CELL_PARAMETERS angstrom
4.876 0.000 0.000
0.000 3.309 0.000
-2.453 0.000 11.859
```

***

## TmZn2Co2Ge (PBE-GGA)

Data for crystalline TmZn2Co2Ge at its relaxed geometry. Values from VASP.

Computed properties:
Crystal system: tetragonal
Calculated formation energy in kcal/mol of atoms: -0.81
Density of states at the Fermi level in states/eV per cell: 3.28
Space-group type: P4/mmm

```
&SYSTEM
  ibrav = 0, nat = 6, ntyp = 4
/
ATOMIC_SPECIES
Tm 168.93 Tm.upf
Zn 65.41 Zn.upf
Co 58.93 Co.upf
Ge 72.64 Ge.upf
ATOMIC_POSITIONS crystal
Tm 0.000 0.000 0.000
Zn 0.500 0.500 0.235
Zn 0.500 0.500 0.765
Co 0.000 0.500 0.500
Co 0.500 0.000 0.500
Ge 0.000 0.000 0.500
CELL_PARAMETERS angstrom
4.332 0.000 0.000
0.000 4.332 0.000
0.000 0.000 5.501
```

***

## SrP2S2 (PBE-GGA)

Data for crystalline SrP2S2 at its relaxed geometry. Values from VASP.

Computed properties:
Crystal system: tetragonal
ΔE_f (raw) in meV/atom: -248
Density of states at the Fermi level in states/eV per cell: 4.44
Space-group type: I4/mmm

```
&SYSTEM
  ibrav = 0, nat = 5, ntyp = 3
/
ATOMIC_SPECIES
Sr 87.62 Sr.upf
P 30.97 P.upf
S 32.06 S.upf
ATOMIC_POSITIONS crystal
Sr 0.000 0.000 0.000
P 0.371 0.371 0.000
P 0.629 0.629 0.000
S 0.250 0.750 0.500
S 0.750 0.250 0.500
CELL_PARAMETERS angstrom
-2.576 2.576 4.020
2.576 -2.576 4.020
2.576 2.576 -4.020
```

***

## Dy4Tm2Tl (PBE-GGA)

Data for crystalline Dy4Tm2Tl at its relaxed geometry. Values from VASP.

Computed properties:
Crystal system: monoclinic
Calculated formation energy in kcal/mol of atoms: 0.13
Density of states at the Fermi level in states/eV per cell: 21.32
Space-group type: P2_1/m

```
&SYSTEM
  ibrav = 0, nat = 14, ntyp = 3
/
ATOMIC_SPECIES
Dy 162.50 Dy.upf
Tm 168.93 Tm.upf
Tl 204.38 Tl.upf
ATOMIC_POSITIONS crystal
Dy 0.117 0.250 0.144
Dy 0.220 0.750 0.412
Dy 0.334 0.511 0.706
Dy 0.334 0.989 0.706
Dy 0.666 0.011 0.294
Dy 0.666 0.489 0.294
Dy 0.780 0.250 0.588
Dy 0.883 0.750 0.856
Tm 0.216 0.250 0.438
Tm 0.450 0.750 0.021
Tm 0.550 0.250 0.979
Tm 0.784 0.750 0.562
Tl 0.009 0.750 0.140
Tl 0.991 0.250 0.860
CELL_PARAMETERS angstrom
5.600 0.000 0.000
0.000 6.738 0.000
-2.541 0.000 11.316
```

***

## ScCuRh3 (PBE-GGA)

Data for crystalline ScCuRh3 at its relaxed geometry. Values from VASP.

Computed properties:
Crystal system: monoclinic
Calculated formation energy in kcal/mol of atoms: -8.21
Density of states at the Fermi level in states/eV per cell: 10.51
Space-group type: C2/m

```
&SYSTEM
  ibrav = 0, nat = 10, ntyp = 3
/
ATOMIC_SPECIES
Sc 44.96 Sc.upf
Cu 63.55 Cu.upf
Rh 102.91 Rh.upf
ATOMIC_POSITIONS crystal
Sc 0.111 0.111 0.049
Sc 0.889 0.889 0.951
Cu 0.295 0.295 0.646
Cu 0.705 0.705 0.354
Rh 0.099 0.099 0.540
Rh 0.302 0.302 0.171
Rh 0.498 0.498 0.743
Rh 0.502 0.502 0.257
Rh 0.698 0.698 0.829
Rh 0.901 0.901 0.460
CELL_PARAMETERS angstrom
6.942 -1.963 0.000
6.942 1.963 0.000
-0.690 0.000 5.458
```

***

## Sm2Tm3ScSe6 (PBE-GGA)

Data for crystalline Sm2Tm3ScSe6 at its relaxed geometry. Values from VASP.

Computed properties:
Crystal system: monoclinic
ΔE_f (raw) in meV/atom: -1694
Density of states at the Fermi level in states/eV per cell: 6.03
Space-group type: C2/m

```
&SYSTEM
  ibrav = 0, nat = 12, ntyp = 4
/
ATOMIC_SPECIES
Sm 150.36 Sm.upf
Tm 168.93 Tm.upf
Sc 44.96 Sc.upf
Se 78.96 Se.upf
ATOMIC_POSITIONS crystal
Sm 0.168 0.168 0.335
Sm 0.832 0.832 0.665
Tm 0.172 0.172 0.835
Tm 0.500 0.500 0.500
Tm 0.828 0.828 0.165
Sc 0.500 0.500 0.000
Se 0.005 0.005 0.758
Se 0.338 0.338 0.409
Se 0.338 0.338 0.929
Se 0.662 0.662 0.071
Se 0.662 0.662 0.591
Se 0.995 0.995 0.242
CELL_PARAMETERS angstrom
8.833 -2.015 0.000
8.833 2.015 0.000
-1.929 0.000 7.924
```

***

## RbCePm2 (PBE-GGA)

Data for crystalline RbCePm2 at its relaxed geometry. Values from VASP.

Computed properties:
Crystal system: trigonal
Calculated formation energy in kcal/mol of atoms: 16.68
Density of states at the Fermi level in states/eV per cell: 7.10
Space-group type: R-3m

```
&SYSTEM
  ibrav = 0, nat = 4, ntyp = 3
/
ATOMIC_SPECIES
Rb 85.47 Rb.upf
Ce 140.12 Ce.upf
Pm 145.00 Pm.upf
ATOMIC_POSITIONS crystal
Rb 0.000 0.000 0.000
Ce 0.500 0.500 0.500
Pm 0.119 0.119 0.119
Pm 0.881 0.881 0.881
CELL_PARAMETERS angstrom
2.144 1.238 10.748
-2.144 1.238 10.748
0.000 -2.476 10.748
```

***

## Sc2NbGePt (PBE-GGA)

Data for crystalline Sc2NbGePt at its relaxed geometry. Values from VASP.

Computed properties:
Crystal system: tetragonal
Calculated formation energy in kcal/mol of atoms: 13.57
Density of states at the Fermi level in states/eV per cell: 3.48
Space-group type: P4/mmm

```
&SYSTEM
  ibrav = 0, nat = 5, ntyp = 4
/
ATOMIC_SPECIES
Sc 44.96 Sc.upf
Nb 92.91 Nb.upf
Ge 72.64 Ge.upf
Pt 195.08 Pt.upf
ATOMIC_POSITIONS crystal
Sc 0.000 0.500 0.000
Sc 0.500 0.000 0.000
Nb 0.000 0.000 0.000
Ge 0.500 0.500 0.500
Pt 0.000 0.000 0.500
CELL_PARAMETERS angstrom
5.080 0.000 0.000
0.000 5.080 0.000
0.000 0.000 4.826
```

***

Here are the calculated magnetic moment numbers, same order: 0.00, 0.00, 0.00, 0.94, 0.00, 0.22, 0.00, 0.00, 0.00, 0.00, 0.00, 0.00 (μB per atom).